Record 1
Entry from Alexandria: crystalline TaCoAu at its relaxed geometry (PBE).

Computed properties:
density: 15.6 Mg/m³
distance to the lowest polymorph of the same formula: 0 meV per atom
total magnetization: 0.00 μB/cell
total DFT energy (no corrections): -22.62 eV per cell
energy of formation: -0.13 eV/atom

Cell: 4.952 4.952 4.952 Å, 141.66 141.63 55.36°
Fractional positions:
Au  0.998  0.998  0.000
Ta  0.687  0.687  0.000
Co  0.316  0.316  0.000

***

Record 2
Entry from Alexandria: crystalline Ta2CoAu at its relaxed geometry (PBE).

Computed properties:
density: 15.1 Mg/m³
distance to the lowest polymorph of the same formula: 285 meV per atom
total magnetization: 0.50 μB/cell
total DFT energy (no corrections): -33.38 eV per cell
energy of formation: 0.18 eV/atom

Cell: 8.714 8.714 8.714 Å, 20.00 20.00 20.00°
Fractional positions:
Au  0.496  0.496  0.496
Ta  0.251  0.251  0.251
Ta  0.009  0.009  0.009
Co  0.744  0.744  0.744

***

Record 3
Entry from Alexandria: crystalline Ta2CoAu at its relaxed geometry (PBE).

Computed properties:
density: 15.7 Mg/m³
distance to the lowest polymorph of the same formula: 183 meV per atom
total magnetization: 1.02 μB/cell
total DFT energy (no corrections): -33.79 eV per cell
energy of formation: 0.07 eV/atom

Cell: 5.432 5.432 5.432 Å, 148.11 128.84 61.56°
Fractional positions:
Ta  0.026  0.026  0.000
Ta  0.757  0.257  0.500
Au  0.476  0.476  0.000
Co  0.242  0.742  0.500

***

Record 4
Entry from Alexandria: crystalline Ta2CoAu at its relaxed geometry (PBE).

Computed properties:
density: 14.6 Mg/m³
distance to the lowest polymorph of the same formula: 704 meV per atom
total magnetization: 0.00 μB/cell
total DFT energy (no corrections): -63.42 eV per cell
energy of formation: 0.60 eV/atom

Cell: 3.896 3.896 9.649 Å, 78.35 78.35 90.00°
Fractional positions:
Au  0.000  0.000  0.000
Au  0.750  0.250  0.500
Ta  0.616  0.125  0.250
Ta  0.875  0.866  0.750
Ta  0.134  0.625  0.250
Ta  0.375  0.384  0.750
Co  0.500  0.500  0.000
Co  0.250  0.750  0.500

***

Record 5
Entry from Alexandria: crystalline TaCoAu2 at its relaxed geometry (PBE).

Computed properties:
density: 16.3 Mg/m³
distance to the lowest polymorph of the same formula: 162 meV per atom
total magnetization: 1.25 μB/cell
total DFT energy (no corrections): -25.01 eV per cell
energy of formation: 0.13 eV/atom

Cell: 4.499 4.499 4.499 Å, 60.00 60.00 60.00°
Fractional positions:
Ta  0.750  0.750  0.750
Au  0.250  0.250  0.250
Au  0.000  0.000  0.000
Co  0.500  0.500  0.500

***

Record 6
Entry from Alexandria: crystalline TaCoAu2 at its relaxed geometry (PBE).

Computed properties:
density: 16.4 Mg/m³
distance to the lowest polymorph of the same formula: 174 meV per atom
total magnetization: 0.67 μB/cell
total DFT energy (no corrections): -24.96 eV per cell
energy of formation: 0.14 eV/atom

Cell: 4.118 2.889 6.125 Å, 61.84 90.00 90.00°
Fractional positions:
Au  0.000  0.504  0.495
Au  0.000  0.996  0.005
Co  0.500  0.250  0.250
Ta  0.500  0.750  0.750